Rb2CdBrF6, relaxed, DFT PBE; M_tot = 1.000 μB/f.u.; crystal system = tetragonal; formation energy without anion corrections = -1.8692 eV/atom
1.0
-3.128 3.128 5.232
3.128 -3.128 5.232
3.128 3.128 -5.232
Rb Cd Br F
2 1 1 6
Direct
0.250 0.750 0.500
0.750 0.250 0.500
0.000 0.000 0.000
0.500 0.500 0.000
0.205 0.205 0.000
0.256 0.256 0.512
0.256 0.744 0.000
0.744 0.256 0.000
0.744 0.744 0.488
0.795 0.795 0.000

=====

Cu2ReAu, relaxed, DFT PBE; energy above the most stable polymorph in this dataset = 149.2 meV/atom; M_tot = 0.000 μB/f.u.; crystal system = monoclinic; ΔH_f (0 K) = 0.36 eV per atom
1.0
2.591 0.000 0.000
0.000 4.291 0.000
-0.146 0.000 5.260
Cu Re Au
2 1 1
Direct
0.057 0.000 0.223
0.943 0.000 0.777
0.500 0.500 0.000
0.000 0.500 0.500

=====

Tm2ThOs2, relaxed, DFT PBE; energy above the most stable polymorph in this dataset = 99.3 meV/atom; M_tot = 0.000 μB/f.u.; crystal system = monoclinic; ΔH_f (0 K) = -0.20 eV per atom
1.0
5.508 0.000 0.000
0.000 4.398 0.000
-0.706 0.000 10.336
Tm Th Os
4 2 4
Direct
0.101 0.250 0.377
0.242 0.250 0.033
0.758 0.750 0.967
0.899 0.750 0.623
0.383 0.250 0.707
0.617 0.750 0.293
0.248 0.750 0.855
0.352 0.750 0.512
0.648 0.250 0.488
0.752 0.250 0.145

=====

LiPrDySb, relaxed, DFT PBE; M_tot = 0.000 μB/f.u.; crystal system = cubic; formation energy without anion corrections = -0.4676 eV/atom
1.0
0.000 3.750 3.750
3.750 0.000 3.750
3.750 3.750 0.000
Li Pr Dy Sb
1 1 1 1
Direct
0.000 0.000 0.000
0.250 0.250 0.250
0.750 0.750 0.750
0.500 0.500 0.500

=====

Number 1: V 205 Å³/cell. Number 2: V 58 Å³/cell. Number 3: V 250 Å³/cell. Number 4: V 105 Å³/cell.